Entry 1:
Density functional theory data (GGA-PBE) for CeSmCd17 after structural relaxation.

Structure (CIF):
```
data_CeSmCd17
_cell_length_a 10.0813
_cell_length_b 10.0813
_cell_length_c 14.9831
_cell_angle_alpha 90.00
_cell_angle_beta 90.00
_cell_angle_gamma 120.00
_symmetry_space_group_name_H-M 'R 3 m'
_symmetry_Int_Tables_number 160
_symmetry_space_group_name_Hall 'R 3 -2"'
loop_
_atom_site_label
_atom_site_type_symbol
_atom_site_fract_x
_atom_site_fract_y
_atom_site_fract_z
Ce1 Ce 0.0000 0.0000 0.0000
Sm1 Sm 0.0000 0.0000 0.3381
Cd1 Cd 0.0000 0.0000 0.5630
Cd2 Cd 0.0000 0.0000 0.7621
Cd3 Cd 0.0331 0.3647 0.3336
Cd4 Cd 0.1714 0.3429 0.1456
Cd5 Cd 0.1777 0.3554 0.5046
Cd6 Cd 0.1869 0.3738 0.8494
```

Magnetic moment ... 1.14 μB/f.u.
Raw total energy ... -1.508 eV per atom
DOS(E_F) ... 0.659 states/eV/atom

***

Entry 2:
Density functional theory data (GGA-PBE) for CeSmCd4 after structural relaxation.

Structure (CIF):
```
data_CeSmCd4
_cell_length_a 3.370
_cell_length_b 5.112
_cell_length_c 8.808
_cell_angle_alpha 90.00
_cell_angle_beta 90.00
_cell_angle_gamma 90.00
_symmetry_space_group_name_H-M 'P m m m'
_symmetry_Int_Tables_number 47
loop_
_symmetry_equiv_pos_as_xyz
'x,y,z'
'-x,-y,-z'
'-x,-y,z'
'x,y,-z'
'x,-y,-z'
'-x,y,z'
'-x,y,-z'
'x,-y,z'
loop_
_atom_site_label
_atom_site_type_symbol
_atom_site_fract_x
_atom_site_fract_y
_atom_site_fract_z
Ce1 Ce 0.000 0.000 0.000
Sm1 Sm 0.000 0.500 0.500
Cd1 Cd 0.500 0.000 0.334
Cd2 Cd 0.500 0.500 0.168
```

Magnetic moment ... 1.23 μB/f.u.
Raw total energy ... -2.793 eV per atom
DOS(E_F) ... 1.467 states/eV/atom

***

Entry 3:
Density functional theory data (GGA-PBE) for CeSmCd4 after structural relaxation.

Structure (CIF):
```
data_CeSmCd4
_cell_length_a 6.672
_cell_length_b 17.646
_cell_length_c 5.104
_cell_angle_alpha 90.00
_cell_angle_beta 90.00
_cell_angle_gamma 90.00
_symmetry_space_group_name_H-M 'C m c m'
_symmetry_Int_Tables_number 63
_symmetry_space_group_name_Hall '-C 2c 2'
loop_
_atom_site_label
_atom_site_type_symbol
_atom_site_fract_x
_atom_site_fract_y
_atom_site_fract_z
Ce1 Ce 0.000 0.125 0.250
Sm1 Sm 0.000 0.374 0.750
Cd1 Cd 0.248 0.042 0.750
Cd2 Cd 0.249 0.208 0.750
```

Magnetic moment ... 1.23 μB/f.u.
Raw total energy ... -2.674 eV per atom
DOS(E_F) ... 1.364 states/eV/atom

***

Entry 4:
Density functional theory data (GGA-PBE) for Ce2SmCd6 after structural relaxation.

Structure (CIF):
```
data_Ce2SmCd6
_cell_length_a 8.8437
_cell_length_b 8.8437
_cell_length_c 3.3237
_cell_angle_alpha 90.00
_cell_angle_beta 90.00
_cell_angle_gamma 120.00
_symmetry_space_group_name_H-M 'P 6/m m m'
_symmetry_Int_Tables_number 191
_symmetry_space_group_name_Hall '-P 6 2'
loop_
_atom_site_label
_atom_site_type_symbol
_atom_site_fract_x
_atom_site_fract_y
_atom_site_fract_z
Ce1 Ce 0.3333 0.6667 0.0000
Sm1 Sm 0.0000 0.0000 0.0000
Cd1 Cd 0.0000 0.3323 0.5000
```

Magnetic moment ... 2.50 μB/f.u.
Raw total energy ... -2.735 eV per atom
DOS(E_F) ... 1.821 states/eV/atom

***

Entry 5:
Density functional theory data (GGA-PBE) for CeSmCd2 after structural relaxation.

Structure (CIF):
```
data_CeSmCd2
_cell_length_a 7.644
_cell_length_b 3.478
_cell_length_c 8.251
_cell_angle_alpha 90.00
_cell_angle_beta 90.00
_cell_angle_gamma 90.00
_symmetry_space_group_name_H-M 'P m m a'
_symmetry_Int_Tables_number 51
loop_
_symmetry_equiv_pos_as_xyz
'x,y,z'
'-x,-y,-z'
'-x+1/2,-y,z'
'x+1/2,y,-z'
'x+1/2,-y,-z'
'-x+1/2,y,z'
'-x,y,-z'
'x,-y,z'
loop_
_atom_site_label
_atom_site_type_symbol
_atom_site_fract_x
_atom_site_fract_y
_atom_site_fract_z
Ce1 Ce 0.250 0.000 0.025
Sm1 Sm 0.250 0.000 0.469
Cd1 Cd 0.039 0.500 0.743
```

Magnetic moment ... 1.58 μB/f.u.
Raw total energy ... -3.337 eV per atom
DOS(E_F) ... 2.370 states/eV/atom

***

Entry 6:
Density functional theory data (GGA-PBE) for Ce2SmCd2Sn2 after structural relaxation.

Structure (CIF):
```
data_Ce2SmCd2Sn2
_cell_length_a 4.7886
_cell_length_b 4.7886
_cell_length_c 28.0914
_cell_angle_alpha 90.00
_cell_angle_beta 90.00
_cell_angle_gamma 120.00
_symmetry_space_group_name_H-M 'R -3 m'
_symmetry_Int_Tables_number 166
_symmetry_space_group_name_Hall '-R 3 2"'
loop_
_atom_site_label
_atom_site_type_symbol
_atom_site_fract_x
_atom_site_fract_y
_atom_site_fract_z
Ce1 Ce 0.0000 0.0000 0.1461
Sm1 Sm 0.0000 0.0000 0.0000
Cd1 Cd 0.0000 0.0000 0.4218
Sn1 Sn 0.0000 0.0000 0.2709
```

Magnetic moment ... 2.86 μB/f.u.
Raw total energy ... -4.059 eV per atom
DOS(E_F) ... 1.771 states/eV/atom

***

no.,ΔE_f (eV/atom)
1,-0.1285
2,-0.4074
3,-0.2888
4,-0.2819
5,-0.2159
6,-0.2839